An optimized crystal structure of Sc2Ga2Rh. Source: Alexandria via LeMat-Bulk, functional PBE.

Unit cell a=5.937 b=11.448 c=5.650 alpha=90.00 beta=90.00 gamma=90.00
Space group Ibam (No. 72)
Asymmetric unit:
Sc (0.214, 0.166, 0.000) x8
Ga (0.163, 0.420, 0.000) x8
Rh (0.000, 0.000, 0.250) x4

Computed properties:
Polymorph energy (0 for the lowest one): 123 meV per atom

An optimized crystal structure of Sr3CuPt. Source: Alexandria via LeMat-Bulk, functional PBE.

Unit cell a=7.366 b=4.219 c=11.011 alpha=90.00 beta=103.48 gamma=90.00
Space group P2_1/m (No. 11)
Asymmetric unit:
Sr (0.222, 0.250, 0.066) x2
Sr (0.239, 0.750, 0.755) x2
Sr (0.257, 0.250, 0.429) x2
Cu (0.432, 0.750, 0.279) x2
Pt (0.068, 0.750, 0.219) x2

Computed properties:
Polymorph energy (0 for the lowest one): 0 meV per atom

An optimized crystal structure of ScMo. Source: Alexandria via LeMat-Bulk, functional PBE.

Unit cell a=3.198 b=4.803 c=15.398 alpha=90.00 beta=90.00 gamma=90.00
Space group Immm (No. 71)
Asymmetric unit:
Sc (0.000, 0.000, 0.000) x2
Sc (0.000, 0.500, 0.310) x4
Mo (0.000, 0.000, 0.500) x2
Mo (0.000, 0.500, 0.128) x4

Computed properties:
Polymorph energy (0 for the lowest one): 176 meV per atom

An optimized crystal structure of Y4ScIn2. Source: Alexandria via LeMat-Bulk, functional PBE.

Unit cell a=5.3194 b=5.3194 c=24.4741 alpha=90.00 beta=90.00 gamma=120.00
Space group R-3m (No. 166, hexagonal axes)
Asymmetric unit:
Y (0.0000, 0.0000, 0.1012) x6
Y (0.0000, 0.0000, 0.3658) x6
Sc (0.0000, 0.0000, 0.5000) x3
In (0.0000, 0.0000, 0.2338) x6

An optimized crystal structure of Tb12HoCo6. Source: Alexandria via LeMat-Bulk, functional PBE.

Unit cell a=9.799 b=9.799 c=9.799 alpha=90.00 beta=90.00 gamma=90.00
Space group Im-3 (No. 204)
Asymmetric unit:
Tb (0.000, 0.194, 0.309) x24
Ho (0.000, 0.000, 0.000) x2
Co (0.000, 0.387, 0.500) x12

What calculated formation energy values result from the calculations? In sequence: -621 -407 151 -244 -124 meV/atom.
What spin magnetization values result from the calculations? In sequence: 0.0000 0.0000 0.0000 0.2594 0.0000 μB per atom.